Entry 1:
Compound: KAs
Source: Alexandria
Functional: PBE
Structure: relaxed

The structure in POSCAR format:
```
KAs
1.0
5.8757 0.0000 0.0000
-2.9379 5.0885 0.0000
0.0000 0.0000 8.6673
K As
4 4
Direct
0.0000 0.0000 0.2500
0.0000 0.0000 0.7500
0.3333 0.6667 0.2500
0.6667 0.3333 0.7500
0.3333 0.6667 0.6156
0.3333 0.6667 0.8844
0.6667 0.3333 0.1156
0.6667 0.3333 0.3844
```

Computed properties:
Energy above the most stable polymorph in this dataset in eV per atom: 0.241
V in Å³ per cell: 259.14
Density of states at the Fermi level in states/eV/f.u.: 1.77
ΔE_f in kcal/mol of atoms: -5.13

Entry 2:
Compound: GeSbTe2H
Source: Alexandria
Functional: PBE
Structure: relaxed

The structure in POSCAR format:
```
GeSbTe2H
1.0
5.4220 0.0000 0.0000
0.0000 5.4220 0.0000
0.0000 0.0000 3.8781
Ge Sb Te H
1 1 2 1
Direct
0.0000 0.0000 0.0000
0.5000 0.5000 0.0000
0.0000 0.5000 0.5000
0.5000 0.0000 0.5000
0.5000 0.5000 0.5000
```

Computed properties:
Energy above the most stable polymorph in this dataset in eV per atom: 0.000
V in Å³ per cell: 114.01
Density of states at the Fermi level in states/eV/f.u.: 4.16

no.,spin magnetization (μB/f.u.)
1,0.00
2,0.00